Computed, not measured: crystalline Pm2LuTh at its relaxed geometry at the PBE level of DFT.

Output
- Crystal system: tetragonal
- ΔH_f (0 K): 0.051 eV/atom
- Offset from the most stable computed form: 7 meV/atom

Lattice parameters (Å, degrees): 3.589 3.589 10.156 90.00 90.00 90.00
Fractional positions:
Pm (0.000, 0.000, 0.247)
Pm (0.000, 0.000, 0.753)
Lu (0.500, 0.500, 0.500)
Th (0.500, 0.500, 0.000)

=====

Computed, not measured: crystalline Ag5PdBr8 at its relaxed geometry at the PBE level of DFT.

Output
- Crystal system: cubic
- Offset from the most stable computed form: 30 meV/atom

Lattice parameters (Å, degrees): 8.201 8.201 8.201 60.00 60.00 60.00
Fractional positions:
Ag (0.000, 0.000, 0.000)
Ag (0.130, 0.623, 0.623)
Ag (0.623, 0.130, 0.623)
Ag (0.623, 0.623, 0.130)
Ag (0.623, 0.623, 0.623)
Pd (0.250, 0.250, 0.250)
Br (0.377, 0.377, 0.377)
Br (0.377, 0.377, 0.869)
Br (0.377, 0.869, 0.377)
Br (0.397, 0.868, 0.868)
Br (0.868, 0.397, 0.868)
Br (0.868, 0.868, 0.397)
Br (0.868, 0.868, 0.868)
Br (0.869, 0.377, 0.377)

=====

Computed, not measured: crystalline KSbMo2 at its relaxed geometry at the PBE level of DFT.

Output
- Crystal system: monoclinic
- Total DFT energy (no corrections): -24.81 eV/cell

Lattice parameters (Å, degrees): 4.534 4.534 7.744 95.81 95.81 40.75
Fractional positions:
K (0.000, 0.000, 0.000)
Sb (0.761, 0.761, 0.340)
Mo (0.223, 0.223, 0.648)
Mo (0.500, 0.500, 0.531)

=====

Computed, not measured: crystalline Ac6GeS5 at its relaxed geometry at the PBE level of DFT.

Output
- Crystal system: monoclinic
- Total DFT energy (no corrections): -71.86 eV/cell

Lattice parameters (Å, degrees): 7.560 7.560 7.581 99.54 99.54 120.02
Fractional positions:
Ac (0.082, 0.416, 0.749)
Ac (0.248, 0.248, 0.250)
Ac (0.416, 0.082, 0.749)
Ac (0.584, 0.918, 0.251)
Ac (0.752, 0.752, 0.750)
Ac (0.918, 0.584, 0.251)
Ge (0.500, 0.500, 0.000)
S (0.000, 0.000, 0.500)
S (0.167, 0.833, 0.000)
S (0.336, 0.664, 0.500)
S (0.664, 0.336, 0.500)
S (0.833, 0.167, 0.000)

=====

| no. | volume (Å³/cell) | N(E_F) (states/eV/cell) |
| --- | --- | --- |
| 1 | 131 | 5.47 |
| 2 | 390 | 15.20 |
| 3 | 103 | 2.98 |
| 4 | 354 | 5.51 |